i) Material: PaPt2Rh3
Method: DFT, PBE-GGA
State: optimized geometry

Cell: 5.604 7.334 7.334 Å, 42.71 90.00 90.00°
Sites, in units of the cell vectors:
Rh 0.250 0.219 0.781
Rh 0.250 0.302 0.357
Rh 0.250 0.643 0.698
Pt 0.500 0.157 0.157
Pt 0.000 0.843 0.843
Rh 0.750 0.781 0.219
Pa 0.250 0.712 0.288
Rh 0.750 0.698 0.643
Pt 0.500 0.843 0.843
Rh 0.750 0.357 0.302
Pt 0.000 0.157 0.157
Pa 0.750 0.288 0.712

Calculated values
As for the crystal system: orthorhombic. Its space-group type is Cmcm (63). The size of the total moment is 0.000 μB per atom.

=====

ii) Material: PaPt2Rh3
Method: DFT, PBE-GGA
State: optimized geometry

Cell: 4.075 5.675 8.579 Å, 87.69 90.00 90.00°
Sites, in units of the cell vectors:
Pa 0.250 0.876 0.747
Rh 0.750 0.630 0.914
Pt 0.250 0.856 0.083
Rh 0.750 0.626 0.249
Pa 0.750 0.124 0.253
Pt 0.250 0.377 0.417
Rh 0.250 0.370 0.086
Pt 0.750 0.623 0.583
Rh 0.250 0.868 0.417
Pt 0.750 0.144 0.917
Rh 0.750 0.132 0.583
Rh 0.250 0.374 0.751

Calculated values
As for the crystal system: monoclinic. Its space-group type is P2_1/m (11). The size of the total moment is 0.000 μB per atom.

=====

Energies relative to the most stable structure, in kJ/mol of atoms: i) 14.5; ii) 0.0.

=====

i) Material: SmPaPtRh
Method: DFT, PBE-GGA
State: optimized geometry

Cell: 4.958 4.958 4.958 Å, 60.00 60.00 60.00°
Last column: magnetic moment on the atom in μB.
Sites, in units of the cell vectors:
Pa 0.000 0.000 0.000  0.35
Rh 0.250 0.250 0.250  -0.03
Sm 0.500 0.500 0.500  0.03
Pt 0.750 0.750 0.750  -0.01

Calculated values
As for the crystal system: cubic. Its space-group type is F-43m (216). The size of the total moment is 0.105 μB per atom.

=====

ii) Material: SmPaPtRh
Method: DFT, PBE-GGA
State: optimized geometry

Cell: 3.738 4.287 5.902 Å, 90.00 108.46 90.00°
Sites, in units of the cell vectors:
Rh 0.400 0.000 0.800
Sm 0.144 0.000 0.288
Pt 0.585 0.500 0.170
Pa 0.871 0.500 0.742

Calculated values
As for the crystal system: orthorhombic. Its space-group type is Amm2 (38). The size of the total moment is 0.000 μB per atom.

=====

Energies relative to the most stable structure, in kJ/mol of atoms: i) 20.0; ii) 0.0.